[1]
## TaCrOs (PBE)

Data for TaCrOs after structural relaxation.

Calculated values
energy relative to the elements: 0.464 eV per atom
energy above the lowest structure with this stoichiometry: 467 meV/atom
symmetry: F-43m, No. 216

```
TaCrOs
1.0
0.000 3.000 3.000
3.000 0.000 3.000
3.000 3.000 0.000
Ta Cr Os
1 1 1
direct
0.000 0.000 0.000
0.500 0.500 0.500
0.250 0.250 0.250
```



[2]
## Ta3CrOs (PBE)

Data for Ta3CrOs after structural relaxation.

Calculated values
energy relative to the elements: 1.196 eV per atom
energy above the lowest structure with this stoichiometry: 0 meV/atom
symmetry: Pm-3m, No. 221

```
Ta3CrOs
1.0
4.509 0.000 0.000
0.000 4.509 0.000
0.000 0.000 4.509
Ta Cr Os
3 1 1
direct
0.000 0.000 0.500
0.000 0.500 0.000
0.500 0.000 0.000
0.000 0.000 0.000
0.500 0.500 0.500
```



[3]
## Ta3CrOs (PBE)

Data for Ta3CrOs after structural relaxation.

Calculated values
energy relative to the elements: 1.352 eV per atom
energy above the lowest structure with this stoichiometry: 156 meV/atom
symmetry: Pm-3m, No. 221

```
Ta3CrOs
1.0
4.846 0.000 0.000
0.000 4.846 0.000
0.000 0.000 4.846
Ta Cr Os
3 1 1
direct
0.000 0.000 0.500
0.000 0.500 0.000
0.500 0.000 0.000
0.500 0.500 0.500
0.000 0.000 0.000
```



[4]
## TaCrOs (PBE)

Data for TaCrOs after structural relaxation.

Calculated values
energy relative to the elements: 0.022 eV per atom
energy above the lowest structure with this stoichiometry: 26 meV/atom
symmetry: P3m1, No. 156

```
TaCrOs
1.0
4.311 0.000 0.000
-2.155 3.733 0.000
0.000 0.000 2.763
Ta Cr Os
1 1 1
direct
0.000 0.000 0.000
0.333 0.667 0.308
0.667 0.333 0.656
```



[5]
## TaCrOs4 (PBE)

Data for TaCrOs4 after structural relaxation.

Calculated values
energy relative to the elements: 0.297 eV per atom
symmetry: F-43m, No. 216

```
TaCrOs4
1.0
0.000 3.628 3.628
3.628 0.000 3.628
3.628 3.628 0.000
Ta Cr Os
1 1 4
direct
0.000 0.000 0.000
0.250 0.250 0.250
0.127 0.624 0.624
0.624 0.127 0.624
0.624 0.624 0.127
0.624 0.624 0.624
```



[6]
## TaCr3Os (PBE)

Data for TaCr3Os after structural relaxation.

Calculated values
energy relative to the elements: 2.179 eV per atom
symmetry: Pm-3m, No. 221

```
TaCr3Os
1.0
4.382 0.000 0.000
0.000 4.382 0.000
0.000 0.000 4.382
Ta Cr Os
1 3 1
direct
0.000 0.000 0.000
0.000 0.000 0.500
0.000 0.500 0.000
0.500 0.000 0.000
0.500 0.500 0.500
```